P:
Below is an optimized crystal structure of Sm2DySb, with properties calculated at the PBE level.

Values from the calculation:
total moment = 0.0 μB per formula unit

Lattice parameters (Å, degrees): 4.831 4.831 4.870 90.00 90.00 90.00
Space group P4/mmm (No. 123)
Symmetry-distinct sites (fractional):
Sm: 0.000 0.500 0.000 [2 per cell]
Dy: 0.000 0.000 0.500 [1 per cell]
Sb: 0.500 0.500 0.500 [1 per cell]

Q:
Below is an optimized crystal structure of Sm2DySb, with properties calculated at the PBE level.

Values from the calculation:
total moment = 0.0 μB per formula unit

Lattice parameters (Å, degrees): 4.199 4.199 6.792 90.00 90.00 90.00
Space group P4/mmm (No. 123)
Symmetry-distinct sites (fractional):
Sm: 0.000 0.000 0.231 [2 per cell]
Dy: 0.500 0.500 0.500 [1 per cell]
Sb: 0.500 0.500 0.000 [1 per cell]

R:
Below is an optimized crystal structure of Sm2DySb, with properties calculated at the PBE level.

Values from the calculation:
total moment = 0.0 μB per formula unit

Lattice parameters (Å, degrees): 4.593 22.978 4.573 90.00 90.00 90.00
Space group Cmcm (No. 63)
Symmetry-distinct sites (fractional):
Sm: 0.000 0.062 0.250 [4 per cell]
Sm: 0.000 0.433 0.250 [4 per cell]
Dy: 0.000 0.306 0.750 [4 per cell]
Sb: 0.000 0.171 0.750 [4 per cell]

Which one sits at the top of the stability order? R does.

P:
Below is an optimized crystal structure of Sm2DySb, with properties calculated at the PBE level.

Values from the calculation:
total moment = 1.0 μB per formula unit

Lattice parameters (Å, degrees): 4.0654 4.0654 28.7163 90.00 90.00 120.00
Space group R3m (No. 160, hexagonal axes)
Symmetry-distinct sites (fractional):
Sm: 0.0000 0.0000 0.0000 [3 per cell]
Sm: 0.0000 0.0000 0.1963 [3 per cell]
Dy: 0.0000 0.0000 0.4316 [3 per cell]
Sb: 0.0000 0.0000 0.5979 [3 per cell]

Q:
Below is an optimized crystal structure of Sm2DySb, with properties calculated at the PBE level.

Values from the calculation:
total moment = 1.1 μB per formula unit

Lattice parameters (Å, degrees): 4.0470 4.0470 29.1148 90.00 90.00 120.00
Space group R-3m (No. 166, hexagonal axes)
Symmetry-distinct sites (fractional):
Sm: 0.0000 0.0000 0.2347 [6 per cell]
Dy: 0.0000 0.0000 0.0000 [3 per cell]
Sb: 0.0000 0.0000 0.5000 [3 per cell]

Which one sits at the top of the stability order? P does.

P:
Below is an optimized crystal structure of SmDySb2, with properties calculated at the PBE level.

Values from the calculation:
total moment = 0.0 μB per formula unit

Lattice parameters (Å, degrees): 4.3967 4.3967 22.5173 90.00 90.00 120.00
Space group R3m (No. 160, hexagonal axes)
Symmetry-distinct sites (fractional):
Sm: 0.0000 0.0000 0.0000 [3 per cell]
Dy: 0.0000 0.0000 0.1709 [3 per cell]
Sb: 0.0000 0.0000 0.4194 [3 per cell]
Sb: 0.0000 0.0000 0.5852 [3 per cell]

Q:
Below is an optimized crystal structure of SmDySb2, with properties calculated at the PBE level.

Values from the calculation:
total moment = 0.0 μB per formula unit

Lattice parameters (Å, degrees): 4.4208 4.4208 14.5618 90.00 90.00 120.00
Space group P6_3/mmc (No. 194)
Symmetry-distinct sites (fractional):
Sm: 0.0000 0.0000 0.0000 [2 per cell]
Dy: 0.3333 0.6667 0.2500 [2 per cell]
Sb: 0.3333 0.6667 0.6254 [4 per cell]

Which one sits at the top of the stability order? Q does.

P:
Below is an optimized crystal structure of Sm3DySb2, with properties calculated at the PBE level.

Values from the calculation:
total moment = 0.0 μB per formula unit

Lattice parameters (Å, degrees): 18.408 4.378 9.961 90.00 115.82 90.00
Space group C2/m (No. 12)
Symmetry-distinct sites (fractional):
Sm: 0.054 0.000 0.177 [4 per cell]
Sm: 0.149 0.500 0.974 [4 per cell]
Sm: 0.188 0.500 0.393 [4 per cell]
Dy: 0.110 0.000 0.616 [4 per cell]
Sb: 0.007 0.500 0.348 [4 per cell]
Sb: 0.250 0.000 0.225 [4 per cell]

Q:
Below is an optimized crystal structure of Sm3DySb2, with properties calculated at the PBE level.

Values from the calculation:
total moment = 0.0 μB per formula unit

Lattice parameters (Å, degrees): 4.533 4.533 8.679 90.00 90.00 90.00
Space group P-4m2 (No. 115)
Symmetry-distinct sites (fractional):
Sm: 0.000 0.000 0.000 [1 per cell]
Sm: 0.000 0.500 0.647 [2 per cell]
Dy: 0.500 0.500 0.000 [1 per cell]
Sb: 0.000 0.500 0.277 [2 per cell]

Which one sits at the top of the stability order? Q does.